Mn5V4Cr: optimized geometry, GGA-PBE.

Formation energy from the elements ... -0.208 eV per atom

abc: 2.8619 2.8619 14.3122
angles: 90.00 90.00 90.00
Closest atoms and distances in Å follow each position.
Fractional positions:
Mn: 0.0000 0.0000 0.0000  8 V 2.48
Mn: 0.0000 0.0000 0.2015  8 V 2.47-2.49
Mn: 0.0000 0.0000 0.4023  4 Cr 2.46, 4 V 2.49
Mn: 0.0000 0.0000 0.5977  4 Cr 2.46, 4 V 2.49
Mn: 0.0000 0.0000 0.7985  8 V 2.47-2.49
V: 0.5000 0.5000 0.1003  8 Mn 2.48-2.49
V: 0.5000 0.5000 0.3008  8 Mn 2.47-2.49
V: 0.5000 0.5000 0.6992  8 Mn 2.47-2.49
V: 0.5000 0.5000 0.8998  8 Mn 2.48-2.49
Cr: 0.5000 0.5000 0.5000  8 Mn 2.46